Compound: NdMnAl4
Source: Alexandria via LeMat-Bulk
Functional: PBE-GGA
Structure: optimized geometry

abc: 4.5038 4.5038 6.8671
angles: 90.00 90.00 90.00
Atoms (fractional coordinates):
Nd (0.0000, 0.0000, 0.0000)
Mn (0.5000, 0.5000, 0.5000)
Al (0.0000, 0.5000, 0.5000)
Al (0.5000, 0.0000, 0.5000)
Al (0.5000, 0.5000, 0.1772)
Al (0.5000, 0.5000, 0.8228)

## Properties
- crystal system = tetragonal
- volume (Å³ per cell) = 139.30
- total magnetization (Bohr magnetons per cell) = 0.00
- symmetry = P4/mmm
- VASP energy (eV per atom) = -4.660